Here is Pm6SnAs2Se3 after structural relaxation from the Alexandria database. Energies are from PBE.

abc: 18.626 4.269 8.555
angles: 90.00 103.18 90.00
Space group C2/m (No. 12)
Inequivalent atoms, fractional coordinates:
1 Pm 0.003 0.000 0.258 x4
2 Pm 0.169 0.500 0.092 x4
3 Pm 0.170 0.500 0.577 x4
4 Sn 0.000 0.500 0.000 x2
5 As 0.168 0.000 0.335 x4
6 Se 0.000 0.500 0.500 x2
7 Se 0.166 0.000 0.832 x4

***

Here is Pm4SnAsSe2 after structural relaxation from the Alexandria database. Energies are from PBE.

abc: 7.428 4.297 7.459
angles: 90.00 109.49 90.00
Space group P2/m (No. 10)
Inequivalent atoms, fractional coordinates:
1 Pm 0.244 0.000 0.242 x2
2 Pm 0.252 0.500 0.757 x2
3 Sn 0.000 0.000 0.500 x1
4 As 0.000 0.500 0.000 x1
5 Se 0.500 0.000 0.000 x1
6 Se 0.500 0.500 0.500 x1

***

no.,DOS at the Fermi energy (states/eV/atom),formation energy from raw total energies (eV/atom)
1,0.375,-1.580
2,0.230,-1.504